1.
VASP calculation (PBE-GGA) on a geometry-optimized Pa2GaTe structure.

**E above lowest polymorph**: 0.016 eV per atom
**ΔE_f (raw)**: -0.34 eV per atom

Unit cell a=4.2797 b=4.2797 c=7.2851 alpha=72.92 beta=72.92 gamma=60.00
Closest atoms and distances in Å follow each position.
Fractional positions:
Pa1 0.7411 0.7411 0.7766  3 Ga 2.91, 3 Te 3.11
Pa2 0.2589 0.2589 0.2234  3 Ga 2.91, 3 Te 3.11
Ga1 0.0000 0.0000 0.0000  6 Pa 2.91
Te1 0.5000 0.5000 0.5000  6 Pa 3.11

2.
VASP calculation (PBE-GGA) on a geometry-optimized Pa2GaTe structure.

**E above lowest polymorph**: 0.000 eV per atom
**ΔE_f (raw)**: -0.35 eV per atom

Unit cell a=3.5179 b=3.5179 c=7.7581 alpha=90.00 beta=90.00 gamma=90.00
Closest atoms and distances in Å follow each position.
Fractional positions:
Te1 0.5000 0.5000 0.5000  8 Pa 3.20, 4 Te 3.52
Ga1 0.5000 0.5000 0.0000  8 Pa 3.11
Pa1 0.0000 0.0000 0.2408  4 Ga 3.11, 4 Te 3.20
Pa2 0.0000 0.0000 0.7592  4 Ga 3.11, 4 Te 3.20

3.
VASP calculation (PBE-GGA) on a geometry-optimized PaTl3Ga2Te6 structure.

**ΔE_f (raw)**: -0.40 eV per atom

Unit cell a=7.6005 b=7.6005 c=8.4329 alpha=98.50 beta=98.50 gamma=120.37
Closest atoms and distances in Å follow each position.
Fractional positions:
Te1 0.9308 0.5986 0.7957  2 Ga 3.00-3.02, 1 Pa 3.02
Te2 0.7353 0.7353 0.2053  1 Pa 3.01, 2 Ga 3.04
Te3 0.0692 0.4014 0.2043  2 Ga 3.00-3.02, 1 Pa 3.02
Te4 0.5986 0.9308 0.7957  2 Ga 3.00-3.02, 1 Pa 3.02
Te5 0.4014 0.0692 0.2043  2 Ga 3.00-3.02, 1 Pa 3.02
Te6 0.2647 0.2647 0.7947  1 Pa 3.01, 2 Ga 3.04
Ga1 0.6675 0.3325 0.0000  6 Te 3.00-3.04
Ga2 0.3325 0.6675 0.0000  6 Te 3.00-3.04
Tl1 0.8349 0.1651 0.5000  6 Te 3.46-3.49
Tl2 0.1651 0.8349 0.5000  6 Te 3.46-3.49
Tl3 0.5000 0.5000 0.5000  6 Te 3.46-3.47
Pa1 0.0000 0.0000 0.0000  6 Te 3.01-3.02

4.
VASP calculation (PBE-GGA) on a geometry-optimized PaTl2GaTe5 structure.

**ΔE_f (raw)**: -0.50 eV per atom

Unit cell a=4.3918 b=10.2032 c=14.9060 alpha=90.00 beta=90.00 gamma=102.43
Closest atoms and distances in Å follow each position.
Fractional positions:
Ga1 0.4351 0.8702 0.4183  4 Te 2.56-2.76
Ga2 0.5649 0.1298 0.9183  4 Te 2.56-2.76
Te1 0.6981 0.3962 0.1646  2 Pa 3.00
Te2 0.6999 0.3997 0.8827  1 Ga 2.74
Te3 0.4990 0.9980 0.2694  1 Ga 2.56
Te4 0.9537 0.9074 0.5280  2 Ga 2.76
Te5 0.3019 0.6038 0.6646  2 Pa 3.00
Te6 0.5010 0.0020 0.7694  1 Ga 2.56
Te7 0.3465 0.6930 0.0147  1 Pa 2.88
Te8 0.3001 0.6003 0.3827  1 Ga 2.74
Te9 0.6535 0.3070 0.5147  1 Pa 2.88
Te10 0.0463 0.0926 0.0280  2 Ga 2.76
Pa1 0.2026 0.4051 0.0278  6 Te 2.88-3.11
Pa2 0.7974 0.5949 0.5278  6 Te 2.88-3.11
Tl1 0.1156 0.2311 0.3354  7 Te 3.34-3.75
Tl2 0.1231 0.2461 0.6831  5 Te 3.39-3.57
Tl3 0.8844 0.7689 0.8354  7 Te 3.34-3.75
Tl4 0.8769 0.7539 0.1831  5 Te 3.39-3.57

5.
VASP calculation (PBE-GGA) on a geometry-optimized ThPa2Ga structure.

**E above lowest polymorph**: 0.086 eV per atom
**E_form**: 0.0023 eV per atom

Unit cell a=3.7203 b=3.7203 c=7.4935 alpha=90.00 beta=90.00 gamma=90.00
Closest atoms and distances in Å follow each position.
Fractional positions:
Pa1 0.0000 0.0000 0.1957  1 Pa 2.93, 4 Ga 3.01
Pa2 0.0000 0.0000 0.8043  1 Pa 2.93, 4 Ga 3.01
Ga1 0.5000 0.5000 0.0000  8 Pa 3.01
Th1 0.5000 0.5000 0.5000  8 Pa 3.48, 4 Th 3.72, 2 Ga 3.75

6.
VASP calculation (PBE-GGA) on a geometry-optimized ThPa2Ga structure.

**E above lowest polymorph**: 0.250 eV per atom
**E_form**: 0.1668 eV per atom

Unit cell a=5.1924 b=5.1924 c=5.1921 alpha=60.00 beta=60.00 gamma=60.00
Closest atoms and distances in Å follow each position.
Fractional positions:
Th1 0.0000 0.0000 0.0000  8 Pa 3.18
Ga1 0.5000 0.5000 0.5000  8 Pa 3.18
Pa1 0.7500 0.7500 0.7501  4 Ga 3.18, 4 Th 3.18
Pa2 0.2500 0.2500 0.2499  4 Ga 3.18, 4 Th 3.18

7.
VASP calculation (PBE-GGA) on a geometry-optimized ThPaGa4 structure.

**E above lowest polymorph**: 0.000 eV per atom
**E_form**: -0.4559 eV per atom

Unit cell a=4.2094 b=4.2094 c=7.9247 alpha=105.40 beta=105.40 gamma=90.00
Closest atoms and distances in Å follow each position.
Fractional positions:
Ga1 0.4153 0.4153 0.8307  3 Ga 2.44-2.49
Ga2 0.8318 0.3318 0.6635  3 Ga 2.40-2.44
Ga3 0.5847 0.5847 0.1693  3 Ga 2.44-2.49
Ga4 0.6682 0.1682 0.3365  3 Ga 2.40-2.44
Pa1 0.2500 0.7500 0.5000  12 Ga 3.21
Th1 0.0000 0.0000 0.0000  12 Ga 3.23-3.25

8.
VASP calculation (PBE-GGA) on a geometry-optimized ThPa4Ga12 structure.

**E_form**: -0.3115 eV per atom

Unit cell a=7.6798 b=7.6798 c=7.6798 alpha=109.47 beta=109.47 gamma=109.47
Closest atoms and distances in Å follow each position.
Fractional positions:
Pa1 0.0000 0.0000 0.5000  12 Ga 3.14-3.20
Pa2 0.0000 0.5000 0.0000  12 Ga 3.14-3.20
Pa3 0.5000 0.5000 0.5000  12 Ga 3.14-3.20
Pa4 0.5000 0.0000 0.0000  12 Ga 3.14-3.20
Ga1 0.3234 0.3234 0.0000  4 Ga 2.71, 1 Th 2.87
Ga2 0.2500 0.7500 0.5000  4 Ga 2.71
Ga3 0.7500 0.5000 0.2500  4 Ga 2.71
Ga4 0.3234 0.0000 0.3234  4 Ga 2.71, 1 Th 2.87
Ga5 0.6766 0.0000 0.6766  4 Ga 2.71, 1 Th 2.87
Ga6 0.0000 0.3234 0.3234  4 Ga 2.71, 1 Th 2.87
Ga7 0.5000 0.2500 0.7500  4 Ga 2.71
Ga8 0.6766 0.6766 0.0000  4 Ga 2.71, 1 Th 2.87
Ga9 0.0000 0.6766 0.6766  4 Ga 2.71, 1 Th 2.87
Ga10 0.5000 0.7500 0.2500  4 Ga 2.71
Ga11 0.2500 0.5000 0.7500  4 Ga 2.71
Ga12 0.7500 0.2500 0.5000  4 Ga 2.71
Th1 0.0000 0.0000 0.0000  6 Ga 2.87

9.
VASP calculation (PBE-GGA) on a geometry-optimized ThPa2Ga structure.

**E above lowest polymorph**: 0.000 eV per atom
**E_form**: -0.0833 eV per atom

Unit cell a=4.9174 b=4.4793 c=4.4793 alpha=90.00 beta=90.00 gamma=90.00
Closest atoms and distances in Å follow each position.
Fractional positions:
Th1 0.5000 0.0000 0.0000  4 Ga 3.17, 8 Pa 3.33
Pa1 0.0000 0.5000 0.0000  4 Pa 3.17, 4 Th 3.33, 4 Ga 3.33
Pa2 0.0000 0.0000 0.5000  4 Pa 3.17, 4 Ga 3.33, 4 Th 3.33
Ga1 0.5000 0.5000 0.5000  4 Th 3.17, 8 Pa 3.33

10.
VASP calculation (PBE-GGA) on a geometry-optimized Th2PaGa structure.

**E above lowest polymorph**: 0.010 eV per atom
**E_form**: -0.0678 eV per atom

Unit cell a=3.5588 b=3.5588 c=8.6317 alpha=90.00 beta=90.00 gamma=90.00
Closest atoms and distances in Å follow each position.
Fractional positions:
Th1 0.0000 0.0000 0.7731  4 Ga 3.19, 4 Pa 3.45, 4 Th 3.56
Th2 0.0000 0.0000 0.2269  4 Ga 3.19, 4 Pa 3.45, 4 Th 3.56
Ga1 0.5000 0.5000 0.0000  8 Th 3.19, 4 Ga 3.56
Pa1 0.5000 0.5000 0.5000  8 Th 3.45, 4 Pa 3.56

11.
VASP calculation (PBE-GGA) on a geometry-optimized Th2PaGa6 structure.

**E_form**: -0.5144 eV per atom

Unit cell a=4.1758 b=7.3801 c=7.3801 alpha=120.00 beta=90.00 gamma=90.00
Closest atoms and distances in Å follow each position.
Fractional positions:
Th1 0.0000 0.6667 0.3333  12 Ga 3.23
Th2 0.0000 0.3333 0.6667  12 Ga 3.23
Ga1 0.5000 0.6691 0.6691  3 Ga 2.44-2.50
Ga2 0.5000 0.0000 0.6691  3 Ga 2.44-2.50
Ga3 0.5000 0.0000 0.3309  3 Ga 2.44-2.50
Ga4 0.5000 0.3309 0.0000  3 Ga 2.44-2.50
Ga5 0.5000 0.6691 0.0000  3 Ga 2.44-2.50
Ga6 0.5000 0.3309 0.3309  3 Ga 2.44-2.50
Pa1 0.0000 0.0000 0.0000  12 Ga 3.21

12.
VASP calculation (PBE-GGA) on a geometry-optimized ThPaGa4 structure.

**E above lowest polymorph**: 0.107 eV per atom
**E_form**: -0.3493 eV per atom

Unit cell a=5.5867 b=5.5867 c=5.5867 alpha=60.00 beta=60.00 gamma=60.00
Closest atoms and distances in Å follow each position.
Fractional positions:
Ga1 0.6246 0.6246 0.1261  6 Ga 2.79-2.80
Ga2 0.6246 0.6246 0.6246  6 Ga 2.79-2.80
Ga3 0.1261 0.6246 0.6246  6 Ga 2.79-2.80
Ga4 0.6246 0.1261 0.6246  6 Ga 2.79-2.80
Pa1 0.2500 0.2500 0.2500  12 Ga 3.27, 4 Th 3.42
Th1 0.0000 0.0000 0.0000  12 Ga 3.28, 4 Pa 3.42

13.
VASP calculation (PBE-GGA) on a geometry-optimized Th2PaGa structure.

**E above lowest polymorph**: 0.000 eV per atom
**E_form**: -0.0779 eV per atom

Unit cell a=4.5562 b=4.8268 c=4.8268 alpha=90.00 beta=90.00 gamma=90.00
Closest atoms and distances in Å follow each position.
Fractional positions:
Pa1 0.5000 0.5000 0.5000  8 Th 3.32, 4 Ga 3.41
Th1 0.0000 0.0000 0.5000  4 Pa 3.32, 4 Ga 3.32, 4 Th 3.41
Th2 0.0000 0.5000 0.0000  4 Ga 3.32, 4 Pa 3.32, 4 Th 3.41
Ga1 0.5000 0.0000 0.0000  8 Th 3.32, 4 Pa 3.41

14.
VASP calculation (PBE-GGA) on a geometry-optimized Th2PaGa structure.

**E above lowest polymorph**: 0.176 eV per atom
**E_form**: 0.0977 eV per atom

Unit cell a=5.3290 b=5.3290 c=5.3290 alpha=60.00 beta=60.00 gamma=60.00
Closest atoms and distances in Å follow each position.
Fractional positions:
Th1 0.7500 0.7500 0.7500  4 Pa 3.26, 4 Ga 3.26
Th2 0.2500 0.2500 0.2500  4 Pa 3.26, 4 Ga 3.26
Ga1 0.5000 0.5000 0.5000  8 Th 3.26
Pa1 0.0000 0.0000 0.0000  8 Th 3.26

15.
VASP calculation (PBE-GGA) on a geometry-optimized Th2PaGa structure.

**E above lowest polymorph**: 0.258 eV per atom
**E_form**: 0.1796 eV per atom

Unit cell a=3.2858 b=3.2858 c=11.7455 alpha=81.96 beta=81.96 gamma=60.00
Closest atoms and distances in Å follow each position.
Fractional positions:
Ga1 0.5000 0.5000 0.5000  6 Th 3.20, 6 Ga 3.29
Pa1 0.0000 0.0000 0.0000  2 Th 3.21, 6 Pa 3.29
Th1 0.0924 0.0924 0.7227  3 Ga 3.20, 1 Pa 3.21, 6 Th 3.29
Th2 0.9076 0.9076 0.2773  3 Ga 3.20, 1 Pa 3.21, 6 Th 3.29

16.
VASP calculation (PBE-GGA) on a geometry-optimized ThPa2Ga9 structure.

**E_form**: -0.4019 eV per atom

Unit cell a=4.3423 b=4.3423 c=13.0172 alpha=90.00 beta=90.00 gamma=90.00
Closest atoms and distances in Å follow each position.
Fractional positions:
Ga1 0.5000 0.0000 0.5000  8 Ga 3.03-3.07, 4 Pa 3.04
Ga2 0.0000 0.5000 0.8263  2 Pa 3.04, 8 Ga 3.04-3.13, 2 Th 3.13
Ga3 0.0000 0.5000 0.5000  8 Ga 3.03-3.07, 4 Pa 3.04
Ga4 0.0000 0.5000 0.1737  2 Pa 3.04, 8 Ga 3.04-3.13, 2 Th 3.13
Ga5 0.5000 0.5000 0.3376  8 Ga 3.03-3.04, 4 Pa 3.07
Ga6 0.5000 0.0000 0.8263  2 Pa 3.04, 8 Ga 3.04-3.13, 2 Th 3.13
Ga7 0.5000 0.5000 0.0000  4 Th 3.07, 8 Ga 3.13
Ga8 0.5000 0.0000 0.1737  2 Pa 3.04, 8 Ga 3.04-3.13, 2 Th 3.13
Ga9 0.5000 0.5000 0.6624  8 Ga 3.03-3.04, 4 Pa 3.07
Th1 0.0000 0.0000 0.0000  12 Ga 3.07-3.13
Pa1 0.0000 0.0000 0.3367  12 Ga 3.04-3.07
Pa2 0.0000 0.0000 0.6633  12 Ga 3.04-3.07

17.
VASP calculation (PBE-GGA) on a geometry-optimized ThUPaGa structure.

**E_form**: 0.1590 eV per atom

Unit cell a=5.1506 b=5.1506 c=5.1506 alpha=60.00 beta=60.00 gamma=60.00
Closest atoms and distances in Å follow each position.
Fractional positions:
Ga1 0.2500 0.2500 0.2500  4 Th 3.15, 4 Pa 3.15
Th1 0.0000 0.0000 0.0000  4 U 3.15, 4 Ga 3.15
U1 0.7500 0.7500 0.7500  4 Th 3.15, 4 Pa 3.15
Pa1 0.5000 0.5000 0.5000  4 U 3.15, 4 Ga 3.15

18.
VASP calculation (PBE-GGA) on a geometry-optimized ThPaZnGa structure.

**E_form**: -0.0998 eV per atom

Unit cell a=5.1096 b=5.1096 c=5.1096 alpha=60.00 beta=60.00 gamma=60.00
Closest atoms and distances in Å follow each position.
Fractional positions:
Ga1 0.2500 0.2500 0.2500  4 Pa 3.13, 4 Th 3.13
Th1 0.5000 0.5000 0.5000  4 Zn 3.13, 4 Ga 3.13
Pa1 0.0000 0.0000 0.0000  4 Zn 3.13, 4 Ga 3.13
Zn1 0.7500 0.7500 0.7500  4 Th 3.13, 4 Pa 3.13

19.
VASP calculation (PBE-GGA) on a geometry-optimized Pa3TiGa12 structure.

**E_form**: -0.3646 eV per atom

Unit cell a=4.2445 b=4.2445 c=16.7978 alpha=90.00 beta=90.00 gamma=90.00
Closest atoms and distances in Å follow each position.
Fractional positions:
Ga1 0.5000 0.5000 0.7540  8 Ga 2.98-3.08, 4 Pa 3.00
Ga2 0.5000 0.5000 0.0000  8 Ga 2.84, 4 Ti 3.00
Ga3 0.5000 0.0000 0.8873  2 Ti 2.84, 8 Ga 2.84-3.08, 2 Pa 3.02
Ga4 0.5000 0.0000 0.6296  8 Ga 2.98-3.04, 4 Pa 3.04-3.05
Ga5 0.5000 0.5000 0.5000  4 Pa 3.00, 8 Ga 3.04
Ga6 0.5000 0.0000 0.1127  2 Ti 2.84, 8 Ga 2.84-3.08, 2 Pa 3.02
Ga7 0.0000 0.5000 0.3704  8 Ga 2.98-3.04, 4 Pa 3.04-3.05
Ga8 0.0000 0.5000 0.8873  8 Ga 2.84-3.08, 2 Ti 2.84, 2 Pa 3.02
Ga9 0.0000 0.5000 0.1127  8 Ga 2.84-3.08, 2 Ti 2.84, 2 Pa 3.02
Ga10 0.0000 0.5000 0.6296  8 Ga 2.98-3.04, 4 Pa 3.04-3.05
Ga11 0.5000 0.0000 0.3704  8 Ga 2.98-3.04, 4 Pa 3.04-3.05
Ga12 0.5000 0.5000 0.2460  8 Ga 2.98-3.08, 4 Pa 3.00
Ti1 0.0000 0.0000 0.0000  12 Ga 2.84-3.00
Pa1 0.0000 0.0000 0.2403  12 Ga 3.00-3.05
Pa2 0.0000 0.0000 0.5000  12 Ga 3.00-3.04
Pa3 0.0000 0.0000 0.7597  12 Ga 3.00-3.05

20.
VASP calculation (PBE-GGA) on a geometry-optimized PaTi3Ga structure.

**E_form**: 0.5358 eV per atom

Unit cell a=5.0127 b=5.0127 c=9.6588 alpha=105.04 beta=105.04 gamma=90.00
Closest atoms and distances in Å follow each position.
Fractional positions:
Ga1 0.2500 0.7500 0.5000  8 Ti 2.55
Ga2 0.0000 0.0000 0.0000  4 Ti 2.59
Ti1 0.1255 0.8711 0.2509  2 Ti 2.46-2.55, 2 Ga 2.55-2.59
Ti2 0.1289 0.8745 0.7491  2 Ti 2.46-2.55, 2 Ga 2.55-2.59
Ti3 0.7225 0.7225 0.4450  2 Ga 2.55
Ti4 0.6201 0.8745 0.7491  2 Ti 2.46-2.55, 2 Ga 2.55-2.59
Ti5 0.1255 0.3799 0.2509  2 Ti 2.46-2.55, 2 Ga 2.55-2.59
Ti6 0.2775 0.2775 0.5550  2 Ga 2.55
Pa1 0.8970 0.3970 0.7940  4 Ti 2.84, 2 Ga 3.12
Pa2 0.6030 0.1030 0.2060  4 Ti 2.84, 2 Ga 3.12

| no. | ρ (g/cm3) |
| --- | --- |
| 1 | 10.07 |
| 2 | 11.40 |
| 3 | 7.24 |
| 4 | 6.86 |
| 5 | 12.23 |
| 6 | 12.81 |
| 7 | 9.47 |
| 8 | 9.49 |
| 9 | 12.86 |
| 10 | 11.62 |
| 11 | 9.39 |
| 12 | 9.99 |
| 13 | 11.96 |
| 14 | 11.87 |
| 15 | 11.72 |
| 16 | 8.94 |
| 17 | 13.25 |
| 18 | 10.53 |
| 19 | 8.66 |
| 20 | 6.54 |